Material: TlV2TcNi
Method: DFT, GGA-PBE
State: optimized geometry

Crystal system: tetragonal
D(E_F): 7.55 states/eV/f.u.
VASP energy: -5.08 eV/atom

abc: 4.815 4.815 4.490
angles: 90.00 90.00 90.00
Positions (direct):
1 Tl 0.000 0.000 0.000
2 V 0.000 0.500 0.000
3 V 0.500 0.000 0.000
4 Tc 0.500 0.500 0.500
5 Ni 0.000 0.000 0.500

Material: TlTc2NiW
Method: DFT, GGA-PBE
State: optimized geometry

Crystal system: tetragonal
D(E_F): 10.09 states/eV/f.u.
VASP energy: -5.19 eV/atom

abc: 4.876 4.876 4.951
angles: 90.00 90.00 90.00
Positions (direct):
1 Tl 0.000 0.000 0.000
2 Tc 0.000 0.500 0.000
3 Tc 0.500 0.000 0.000
4 Ni 0.500 0.500 0.500
5 W 0.000 0.000 0.500

Material: Y2TlTcNi
Method: DFT, GGA-PBE
State: optimized geometry

Crystal system: tetragonal
D(E_F): 8.94 states/eV/f.u.
VASP energy: -5.08 eV/atom

abc: 5.647 5.647 4.649
angles: 90.00 90.00 90.00
Positions (direct):
1 Y 0.000 0.500 0.000
2 Y 0.500 0.000 0.000
3 Tl 0.000 0.000 0.000
4 Tc 0.500 0.500 0.500
5 Ni 0.000 0.000 0.500